Density functional theory data (PBE-GGA) for crystalline SmYAs2O8 at its relaxed geometry.

ΔE_f (raw) = -2.335 eV per atom

Cell: 5.092 5.092 11.481 Å, 90.00 90.00 90.00°
Space group I-4 (No. 82)
Unique sites:
Sm (0.000, 0.000, 0.000) x2
Y (0.000, 0.500, 0.750) x2
As (0.000, 0.000, 0.500) x2
As (0.000, 0.500, 0.250) x2
O (0.142, 0.251, 0.580) x8
O (0.148, 0.751, 0.172) x8

---

Density functional theory data (PBE-GGA) for crystalline SmYAsO2 at its relaxed geometry.

ΔE_f (raw) = -2.624 eV per atom

Cell: 3.846 3.846 13.019 Å, 90.00 90.00 90.00°
Space group I4mm (No. 107)
Unique sites:
Sm (0.000, 0.000, 0.000) x2
Y (0.000, 0.000, 0.319) x2
As (0.000, 0.000, 0.660) x2
O (0.000, 0.500, 0.406) x4

---

Density functional theory data (PBE-GGA) for crystalline SnAs3O at its relaxed geometry.

Energy above the lowest structure with this stoichiometry = 1.198 eV per atom
ΔE_f (raw) = 1.404 eV per atom

Cell: 5.276 5.276 5.276 Å, 90.00 90.00 90.00°
Space group Pm-3m (No. 221)
Unique sites:
Sn (0.000, 0.000, 0.000) x1
As (0.000, 0.000, 0.500) x3
O (0.500, 0.500, 0.500) x1

---

Density functional theory data (PBE-GGA) for crystalline Sn2AsO at its relaxed geometry.

Energy above the lowest structure with this stoichiometry = 0.315 eV per atom
ΔE_f (raw) = -0.037 eV per atom

Cell: 6.753 6.753 6.753 Å, 90.00 90.00 90.00°
Space group Fm-3m (No. 225)
Unique sites:
Sn (0.250, 0.250, 0.250) x8
As (0.000, 0.000, 0.000) x4
O (0.000, 0.000, 0.500) x4

---

Density functional theory data (PBE-GGA) for crystalline SnAsO2 at its relaxed geometry.

Energy above the lowest structure with this stoichiometry = 0.302 eV per atom
ΔE_f (raw) = -0.459 eV per atom

Cell: 5.398 5.398 10.103 Å, 90.00 90.00 90.00°
Space group I-42d (No. 122)
Unique sites:
Sn (0.000, 0.000, 0.000) x4
As (0.000, 0.000, 0.500) x4
O (0.181, 0.250, 0.625) x8

---

Density functional theory data (PBE-GGA) for crystalline SnAsO2 at its relaxed geometry.

Energy above the lowest structure with this stoichiometry = 0.682 eV per atom
ΔE_f (raw) = -0.079 eV per atom

Cell: 6.026 6.026 6.026 Å, 90.00 90.00 90.00°
Space group Fm-3m (No. 225)
Unique sites:
Sn (0.000, 0.000, 0.000) x4
As (0.000, 0.000, 0.500) x4
O (0.250, 0.250, 0.250) x8

---

Number 1: size of the total moment 0.00 μB per cell. Number 2: size of the total moment 0.00 μB per cell. Number 3: size of the total moment 2.19 μB per cell. Number 4: size of the total moment 0.00 μB per cell. Number 5: size of the total moment 0.00 μB per cell. Number 6: size of the total moment 0.00 μB per cell.